No. 1
PaAuSe after structural relaxation, computed with PBE.

Output
The calculation puts the energy above the most stable polymorph in this dataset at 0.000 eV/atom. The space group is Pmmn.

Unit cell a=4.0672 b=4.0705 c=12.2225 alpha=109.44 beta=131.74 gamma=90.01
Closest atoms and distances in Å follow each position.
Element x y z (fractional)
Se 0.4535 0.6012 0.8516  5 Pa 2.92
Pa 0.8314 0.0404 0.7906  5 Se 2.92, 4 Au 3.12-3.13
Au 0.7518 0.7508 0.5009  4 Au 2.88, 4 Pa 3.12-3.13
Pa 0.1686 0.9596 0.2094  5 Se 2.92, 4 Au 3.12-3.13
Au 0.2482 0.2492 0.4991  4 Au 2.88, 4 Pa 3.12-3.13
Se 0.5465 0.3988 0.1484  5 Pa 2.92

=====

No. 2
PaAuSe3 after structural relaxation, computed with PBE.

Output
The space group is P2_1/c.

Unit cell a=6.9582 b=7.0779 c=10.2320 alpha=90.00 beta=101.42 gamma=90.00
Closest atoms and distances in Å follow each position.
Element x y z (fractional)
Pa 0.9434 0.6467 0.2906  7 Se 2.76-3.01
Au 0.5187 0.3708 0.8820  3 Se 2.53-2.76
Au 0.4813 0.6292 0.1180  3 Se 2.53-2.76
Pa 0.4434 0.8533 0.7906  7 Se 2.76-3.01
Se 0.8234 0.3535 0.0995  1 Au 2.76, 2 Pa 2.77-2.86
Au 0.0187 0.1292 0.3820  3 Se 2.53-2.76
Se 0.3234 0.1465 0.5995  1 Au 2.76, 2 Pa 2.77-2.86
Se 0.7968 0.0771 0.7528  1 Au 2.53, 1 Pa 2.76
Pa 0.5566 0.1467 0.2094  7 Se 2.76-3.01
Se 0.6766 0.8535 0.4005  1 Au 2.76, 2 Pa 2.77-2.86
Se 0.7217 0.8637 0.0553  1 Au 2.53
Se 0.2032 0.9229 0.2472  1 Au 2.53, 1 Pa 2.76
Se 0.2217 0.6363 0.5553  1 Au 2.53
Se 0.2783 0.1363 0.9447  1 Au 2.53
Se 0.7032 0.5771 0.7472  1 Au 2.53, 1 Pa 2.76
Pa 0.0566 0.3533 0.7094  7 Se 2.76-3.01
Se 0.2968 0.4229 0.2528  1 Au 2.53, 1 Pa 2.76
Au 0.9813 0.8708 0.6180  3 Se 2.53-2.76
Se 0.1766 0.6465 0.9005  1 Au 2.76, 2 Pa 2.77-2.86
Se 0.7783 0.3637 0.4447  1 Au 2.53

=====

No. 3
Sr2PaAuSe5 after structural relaxation, computed with PBE.

Output
The space group is Cmc2_1.

Unit cell a=4.2452 b=9.3680 c=12.9686 alpha=90.00 beta=90.00 gamma=103.10
Closest atoms and distances in Å follow each position.
Element x y z (fractional)
Se 0.0550 0.1100 0.0514  2 Au 2.62, 1 Pa 2.72
Se 0.4981 0.9961 0.7619  1 Au 2.57
Sr 0.1076 0.2152 0.6872  5 Se 3.07-3.34
Se 0.7099 0.4199 0.1641  2 Pa 2.85
Se 0.2908 0.5817 0.3696  1 Au 2.70, 2 Pa 2.87
Se 0.2901 0.5801 0.6641  2 Pa 2.85
Sr 0.8924 0.7848 0.1872  5 Se 3.07-3.34
Se 0.6455 0.2909 0.5108  1 Pa 2.79
Se 0.3545 0.7091 0.0108  1 Pa 2.79
Pa 0.2019 0.4037 0.0177  6 Se 2.72-2.87
Se 0.5019 0.0039 0.2619  1 Au 2.57
Sr 0.8876 0.7752 0.8274  5 Se 3.05-3.30
Au 0.5684 0.1367 0.9339  4 Se 2.57-2.70
Pa 0.7981 0.5963 0.5177  6 Se 2.72-2.87
Sr 0.1124 0.2248 0.3274  5 Se 3.05-3.30
Au 0.4316 0.8633 0.4339  4 Se 2.57-2.70
Se 0.7092 0.4183 0.8696  1 Au 2.70, 2 Pa 2.87
Se 0.9450 0.8900 0.5514  2 Au 2.62, 1 Pa 2.72

=====

No. 4
PaTlAuSe4 after structural relaxation, computed with PBE.

Output
The space group is P2_1/m.

Unit cell a=7.2844 b=5.7517 c=9.7882 alpha=90.00 beta=112.97 gamma=90.00
Closest atoms and distances in Å follow each position.
Element x y z (fractional)
Se 0.5652 0.2500 0.4167  1 Au 2.81, 3 Pa 2.90-3.07
Au 0.2297 0.7500 0.2739  3 Se 2.48-2.64
Tl 0.7464 0.7500 0.9369  4 Se 3.22-3.42, 2 Au 3.58
Se 0.9521 0.4881 0.3058  1 Au 2.64, 1 Se 2.74
Se 0.4348 0.7500 0.5833  1 Au 2.81, 3 Pa 2.90-3.07
Se 0.5332 0.2500 0.8515  1 Au 2.48
Se 0.0479 0.9881 0.6942  1 Au 2.64, 1 Se 2.74
Pa 0.2764 0.2500 0.5528  8 Se 2.79-3.07
Se 0.9521 0.0119 0.3058  1 Au 2.64, 1 Se 2.74
Se 0.0479 0.5119 0.6942  1 Au 2.64, 1 Se 2.74
Se 0.4668 0.7500 0.1485  1 Au 2.48
Au 0.7703 0.2500 0.7261  3 Se 2.48-2.64
Pa 0.7236 0.7500 0.4472  8 Se 2.79-3.07
Tl 0.2536 0.2500 0.0631  4 Se 3.22-3.42, 2 Au 3.58

=====

No. 5
PaSi4Au after structural relaxation, computed with PBE.

Output
The space group is F-43m.

Unit cell a=5.2360 b=5.2360 c=5.2360 alpha=60.00 beta=60.00 gamma=60.00
Closest atoms and distances in Å follow each position.
Element x y z (fractional)
Si 0.1228 0.6257 0.6257  6 Si 2.60-2.63
Si 0.6257 0.1228 0.6257  6 Si 2.60-2.63
Pa 0.2500 0.2500 0.2500  12 Si 3.07, 4 Au 3.21
Au 0.0000 0.0000 0.0000  12 Si 3.07, 4 Pa 3.21
Si 0.6257 0.6257 0.1228  6 Si 2.60-2.63
Si 0.6257 0.6257 0.6257  6 Si 2.60-2.63

=====

No. 6
Pa2Si3Au after structural relaxation, computed with PBE.

Output
The space group is Fmmm.

Unit cell a=5.7671 b=5.7671 c=8.1798 alpha=109.71 beta=109.71 gamma=92.47
Closest atoms and distances in Å follow each position.
Element x y z (fractional)
Pa 0.7500 0.2500 0.5000  8 Si 3.11-3.12, 4 Au 3.15
Pa 0.2500 0.7500 0.5000  8 Si 3.11-3.12, 4 Au 3.15
Pa 0.7618 0.7618 0.0000  10 Si 3.00-3.23, 2 Au 3.11
Si 0.6767 0.1576 0.8343  2 Si 2.34-2.37, 1 Au 2.43
Si 0.8424 0.3233 0.1657  2 Si 2.34-2.37, 1 Au 2.43
Si 0.1671 0.1671 0.3342  2 Si 2.34, 1 Au 2.46
Si 0.8329 0.8329 0.6658  2 Si 2.34, 1 Au 2.46
Au 0.3390 0.3390 0.6780  3 Si 2.43-2.46
Si 0.3233 0.8424 0.1657  2 Si 2.34-2.37, 1 Au 2.43
Pa 0.2382 0.2382 0.0000  10 Si 3.00-3.23, 2 Au 3.11
Si 0.1576 0.6767 0.8343  2 Si 2.34-2.37, 1 Au 2.43
Au 0.6610 0.6610 0.3220  3 Si 2.43-2.46

=====

No. 7
PaSi2Au6 after structural relaxation, computed with PBE.

Output
The space group is P4/mmm.

Unit cell a=4.1831 b=4.1831 c=9.4197 alpha=90.00 beta=90.00 gamma=90.00
Closest atoms and distances in Å follow each position.
Element x y z (fractional)
Si 0.5000 0.5000 0.1203  1 Si 2.27, 4 Au 2.53
Au 0.5000 0.0000 0.2721  2 Si 2.53
Si 0.5000 0.5000 0.8797  1 Si 2.27, 4 Au 2.53
Pa 0.0000 0.0000 0.0000  8 Si 3.17, 8 Au 3.31
Au 0.0000 0.5000 0.7279  2 Si 2.53
Au 0.5000 0.5000 0.5000  12 Au 2.96-3.00
Au 0.5000 0.0000 0.7279  2 Si 2.53
Au 0.0000 0.0000 0.5000  12 Au 2.96-3.00
Au 0.0000 0.5000 0.2721  2 Si 2.53

=====

No. 8
Pa2Si2Au after structural relaxation, computed with PBE.

Output
The space group is P4/mbm.

Unit cell a=6.7030 b=6.7030 c=8.9446 alpha=90.00 beta=90.00 gamma=90.00
Closest atoms and distances in Å follow each position.
Element x y z (fractional)
Au 0.5000 0.5000 0.7501  4 Si 2.64
Au 0.0000 0.0000 0.7499  4 Si 2.64
Pa 0.1708 0.6708 0.0000  6 Si 2.95-3.01, 1 Pa 3.24
Pa 0.6708 0.8292 0.0000  6 Si 2.95-3.01, 1 Pa 3.24
Si 0.8737 0.6263 0.7500  1 Si 2.39, 2 Au 2.64
Pa 0.1708 0.6708 0.5000  6 Si 2.95-3.01, 1 Pa 3.24
Si 0.8737 0.6263 0.2500  1 Si 2.39, 2 Au 2.64
Si 0.3737 0.8737 0.2500  1 Si 2.39, 2 Au 2.64
Si 0.3737 0.8737 0.7500  1 Si 2.39, 2 Au 2.64
Si 0.6263 0.1263 0.7500  1 Si 2.39, 2 Au 2.64
Pa 0.8292 0.3292 0.5000  6 Si 2.95-3.01, 1 Pa 3.24
Si 0.1263 0.3737 0.2500  1 Si 2.39, 2 Au 2.64
Pa 0.3292 0.1708 0.5000  6 Si 2.95-3.01, 1 Pa 3.24
Si 0.1263 0.3737 0.7500  1 Si 2.39, 2 Au 2.64
Si 0.6263 0.1263 0.2500  1 Si 2.39, 2 Au 2.64
Pa 0.3292 0.1708 0.0000  6 Si 2.95-3.01, 1 Pa 3.24
Au 0.5000 0.5000 0.2499  4 Si 2.64
Pa 0.8292 0.3292 0.0000  6 Si 2.95-3.01, 1 Pa 3.24
Pa 0.6708 0.8292 0.5000  6 Si 2.95-3.01, 1 Pa 3.24
Au 0.0000 0.0000 0.2501  4 Si 2.64

=====

| no. | formation energy from raw total energies (eV per atom) | size of the total moment (μB/f.u.) |
| --- | --- | --- |
| 1 | -0.864 | 0.00 |
| 2 | -0.878 | 0.10 |
| 3 | -1.425 | 0.07 |
| 4 | -0.747 | 0.00 |
| 5 | -0.094 | 0.00 |
| 6 | -0.485 | 0.00 |
| 7 | -0.223 | 0.00 |
| 8 | -0.472 | 0.00 |